# Mn3AuC GGA-PBE relaxed
data_Mn3AuC
_chemical_formula_sum 'Mn3 Au1 C1'
_cell_length_a 4.9326
_cell_length_b 4.9326
_cell_length_c 4.9326
_cell_angle_alpha 90.00
_cell_angle_beta 90.00
_cell_angle_gamma 90.00
_symmetry_space_group_name_H-M 'P m -3 m'
_symmetry_Int_Tables_number 221
_symmetry_space_group_name_Hall '-P 4 2 3'
loop_
_atom_site_label
_atom_site_type_symbol
_atom_site_fract_x
_atom_site_fract_y
_atom_site_fract_z
_atom_site_occupancy
Mn1 Mn 0.0000 0.0000 0.5000 1
Au1 Au 0.0000 0.0000 0.0000 1
C1 C 0.5000 0.5000 0.5000 1
# E (eV/atom): -5.926
# E_form (meV per atom): 2076

=====

# MnAu3C GGA-PBE relaxed
data_MnAu3C
_chemical_formula_sum 'Mn1 Au3 C1'
_cell_length_a 4.3523
_cell_length_b 4.3523
_cell_length_c 4.3523
_cell_angle_alpha 90.00
_cell_angle_beta 90.00
_cell_angle_gamma 90.00
_symmetry_space_group_name_H-M 'P m -3 m'
_symmetry_Int_Tables_number 221
_symmetry_space_group_name_Hall '-P 4 2 3'
loop_
_atom_site_label
_atom_site_type_symbol
_atom_site_fract_x
_atom_site_fract_y
_atom_site_fract_z
_atom_site_occupancy
Mn1 Mn 0.0000 0.0000 0.0000 1
Au1 Au 0.0000 0.5000 0.5000 1
C1 C 0.5000 0.5000 0.5000 1
# E (eV/atom): -4.890
# E_form (meV per atom): 756

=====

# MnAuC2 GGA-PBE relaxed
data_MnAuC2
_chemical_formula_sum 'Mn4 Au4 C8'
_cell_length_a 4.6647
_cell_length_b 4.6647
_cell_length_c 9.0292
_cell_angle_alpha 90.00
_cell_angle_beta 90.00
_cell_angle_gamma 90.00
_symmetry_space_group_name_H-M 'I -4 2 d'
_symmetry_Int_Tables_number 122
_symmetry_space_group_name_Hall 'I -4 2bw'
loop_
_atom_site_label
_atom_site_type_symbol
_atom_site_fract_x
_atom_site_fract_y
_atom_site_fract_z
_atom_site_occupancy
Mn1 Mn 0.0000 0.0000 0.0000 1
Au1 Au 0.0000 0.0000 0.5000 1
C1 C 0.1835 0.2500 0.1250 1
# E (eV/atom): -6.701
# E_form (meV per atom): 1022

=====

| no. | calculated volume (A^3/atom) | offset from the most stable computed form (eV/atom) |
| --- | --- | --- |
| 1 | 24.0 | 2.070 |
| 2 | 16.5 | 0.000 |
| 3 | 12.3 | 0.000 |